Here is crystalline MoAs2SeF at its relaxed geometry from Alexandria via LeMat-Bulk. Energies are from PBE with a Hubbard U.

Calculated values
- relative energy among the computed polymorphs (kJ per mole of atoms) = 0.0
- volume (Å³ per cell) = 115

a = 4.887 Å, b = 4.887 Å, c = 4.824 Å
α = 90.00°, β = 90.00°, γ = 90.00°
Atoms (fractional coordinates):
1 Mo 0.000 0.000 0.000
2 As 0.000 0.500 0.000
3 As 0.500 0.000 0.000
4 Se 0.000 0.000 0.500
5 F 0.500 0.500 0.500


Here is crystalline SiMoAsF2 at its relaxed geometry from Alexandria via LeMat-Bulk. Energies are from PBE with a Hubbard U.

Calculated values
- E (eV per cell) = -22.73
- volume (Å³ per cell) = 85

a = 3.885 Å, b = 5.635 Å, c = 3.885 Å
α = 90.00°, β = 90.00°, γ = 90.00°
Atoms (fractional coordinates):
1 Mo 0.000 0.500 0.000
2 Si 0.500 0.500 0.500
3 As 0.000 0.000 0.000
4 F 0.000 0.000 0.500
5 F 0.500 0.000 0.000


Here is crystalline SnMo2AsF at its relaxed geometry from Alexandria via LeMat-Bulk. Energies are from PBE with a Hubbard U.

Calculated values
- E (eV per cell) = -22.33
- volume (Å³ per cell) = 111

a = 4.531 Å, b = 5.400 Å, c = 4.531 Å
α = 90.00°, β = 90.00°, γ = 90.00°
Atoms (fractional coordinates):
1 As 0.000 0.500 0.000
2 Mo 0.000 0.000 0.500
3 Mo 0.500 0.000 0.000
4 Sn 0.500 0.500 0.500
5 F 0.000 0.000 0.000